[1]
Density functional theory data (PBE-GGA) for a relaxed SrBeAs2 crystal.

Summary:
- Total DFT energy (no corrections): -14.72 eV per formula unit

Lattice parameters (Å, degrees): 7.5359 4.4759 4.1645 89.78 56.76 125.93
Last column: nearest neighbours and their distance in Å.
Fractional positions:
As: 0.5000 0.0000 0.5000  4 Be 3.05-3.06, 4 Sr 3.05-3.06, 4 As 3.15-3.18
As: 0.0000 0.0000 0.0000  4 Sr 3.05-3.06, 4 Be 3.05-3.06, 4 As 3.15-3.18
Sr: 0.5000 0.5000 0.0000  8 As 3.05-3.06, 4 Be 3.15-3.18
Be: 0.0000 0.5000 0.5000  8 As 3.05-3.06, 4 Sr 3.15-3.18

[2]
Density functional theory data (PBE-GGA) for a relaxed Sr2Be2As crystal.

Summary:
- Total DFT energy (no corrections): -15.22 eV per formula unit
- Relative energy among the computed polymorphs: 0.000 eV/atom

Lattice parameters (Å, degrees): 6.9904 6.9904 4.6459 90.00 90.00 90.00
Last column: nearest neighbours and their distance in Å.
Fractional positions:
Sr: 0.6895 0.8105 0.5000  6 Be 3.08-3.16, 4 As 3.44
Sr: 0.3105 0.1895 0.5000  6 Be 3.08-3.16, 4 As 3.44
Sr: 0.8105 0.3105 0.5000  6 Be 3.08-3.16, 4 As 3.44
Sr: 0.1895 0.6895 0.5000  6 Be 3.08-3.16, 4 As 3.44
Be: 0.3942 0.8942 0.0000  1 Be 2.09
Be: 0.8942 0.6058 0.0000  1 Be 2.09
Be: 0.6058 0.1058 0.0000  1 Be 2.09
Be: 0.1058 0.3942 0.0000  1 Be 2.09
As: 0.0000 0.0000 0.0000  4 Be 2.85
As: 0.5000 0.5000 0.0000  4 Be 2.85

[3]
Density functional theory data (PBE-GGA) for a relaxed SrBe2As3 crystal.

Summary:
- Total DFT energy (no corrections): -24.95 eV per formula unit

Lattice parameters (Å, degrees): 7.3936 7.3936 7.3936 146.33 146.33 48.36
Last column: nearest neighbours and their distance in Å.
Fractional positions:
Sr: 0.0000 0.0000 0.0000  4 As 3.03
As: 0.2500 0.7500 0.5000  4 Be 2.46
As: 0.7500 0.2500 0.5000  4 Be 2.46
As: 0.5000 0.5000 0.0000  2 Be 2.15
Be: 0.6596 0.6596 0.0000  1 As 2.15
Be: 0.3404 0.3404 0.0000  1 As 2.15

[4]
Density functional theory data (PBE-GGA) for a relaxed Sr2BeAs crystal.

Summary:
- Total DFT energy (no corrections): -10.73 eV per formula unit
- Relative energy among the computed polymorphs: 0.706 eV/atom

Lattice parameters (Å, degrees): 5.9204 5.9204 9.8633 72.53 72.53 90.00
Last column: nearest neighbours and their distance in Å.
Fractional positions:
As: 0.0000 0.0000 0.0000  4 Sr 3.03
As: 0.7500 0.2500 0.5000  4 Sr 3.03
Be: 0.2500 0.7500 0.5000  4 Sr 3.09
Be: 0.5000 0.5000 0.0000  4 Sr 3.09
Sr: 0.6349 0.1250 0.2500  2 As 3.03, 2 Be 3.09
Sr: 0.3750 0.3651 0.7500  2 As 3.03, 2 Be 3.09
Sr: 0.1151 0.6250 0.2500  2 As 3.03, 2 Be 3.09
Sr: 0.8750 0.8849 0.7500  2 As 3.03, 2 Be 3.09

[5]
Density functional theory data (PBE-GGA) for a relaxed Sr2Be2As3 crystal.

Summary:
- Total DFT energy (no corrections): -29.70 eV per formula unit

Lattice parameters (Å, degrees): 4.1061 8.2826 9.6547 79.65 77.72 75.65
Last column: nearest neighbours and their distance in Å.
Fractional positions:
As: 0.1380 0.4956 0.2283  3 Be 2.32-2.42
As: 0.0718 0.9894 0.8670  1 Be 2.48, 1 As 2.54
As: 0.8620 0.5044 0.7717  3 Be 2.32-2.42
As: 0.5955 0.2541 0.5549  4 Be 2.36-2.40
As: 0.4045 0.7459 0.4451  4 Be 2.36-2.40
As: 0.9282 0.0106 0.1330  1 Be 2.48, 1 As 2.54
Sr: 0.7365 0.8699 0.6571  6 As 2.99-3.12
Sr: 0.3913 0.2694 0.9480  7 As 3.11-3.40, 3 Be 3.22-3.35
Sr: 0.6087 0.7306 0.0520  7 As 3.11-3.40, 3 Be 3.22-3.35
Sr: 0.2635 0.1301 0.3429  6 As 2.99-3.12
Be: 0.4219 0.5214 0.6349  4 As 2.36-2.42, 1 Be 2.61
Be: 0.9667 0.7545 0.3121  4 As 2.32-2.48
Be: 0.0333 0.2455 0.6879  4 As 2.32-2.48
Be: 0.5781 0.4786 0.3651  4 As 2.36-2.42, 1 Be 2.61

[6]
Density functional theory data (PBE-GGA) for a relaxed Sr2BeAs crystal.

Summary:
- Total DFT energy (no corrections): -13.56 eV per formula unit
- Relative energy among the computed polymorphs: 0.000 eV/atom

Lattice parameters (Å, degrees): 6.3867 6.3867 4.0776 90.00 90.00 41.90
Last column: nearest neighbours and their distance in Å.
Fractional positions:
Sr: 0.0136 0.0136 0.1250  4 As 3.21, 2 Be 3.24
Sr: 0.7339 0.7339 0.6250  4 Be 3.23, 3 As 3.28-3.60
Be: 0.3207 0.3207 0.1250  2 As 2.43
As: 0.4318 0.4318 0.6250  2 Be 2.43